ScCo2Si3 | PBE-GGA | optimized geometry

Geometry as extended XYZ:
```
12
Lattice="4.988 0.000 0.000 -2.494 4.322 0.000 0.000 0.000 8.912" Properties=species:S:1:pos:R:3 pbc="T T T"
Sc 0.000 0.000 0.000
Sc 0.000 0.000 4.456
Si 1.262 0.734 6.684
Si 3.726 0.734 6.684
Si 2.494 2.867 6.684
Si 1.232 3.588 2.228
Si -1.232 3.588 2.228
Si 0.000 1.455 2.228
Co 2.494 1.445 8.445
Co 0.000 2.877 3.989
Co 0.000 2.877 0.467
Co 2.494 1.445 4.923
```

Calculated values
* electronic total energy: -6.143 eV per atom
* volume: 16.0 Å³ per atom
* DOS(E_F): 7.99 states/eV per cell
* magnetic moment: 0.00 μB/f.u.